A plane-wave DFT calculation with PBE was carried out for an optimized crystal structure of Tb8Tm5Th.

The structure belongs to space group I-4 (No. 82); the cell edges are 9.5082, 9.5082 and 10.0863 Å and the angles 90.00°, 90.00° and 90.00°. The asymmetric unit holds Tb at (0.0685, 0.1735, 0.1551), Tb at (0.0934, 0.3270, 0.5007), Tm at (0.0000, 0.5000, 0.2500), Tm at (0.1143, 0.2933, 0.8260) and Th at (0.0000, 0.0000, 0.5000).

Its formation energy is 0.2914 eV per atom. As for the crystal system: tetragonal.

***

A plane-wave DFT calculation with PBE was carried out for an optimized crystal structure of DyY7Tm5.

The structure belongs to space group Imm2 (No. 44); the cell edges are 6.6259, 11.1931 and 11.4883 Å and the angles 90.00°, 90.00° and 90.00°. The asymmetric unit holds Dy at (0.0000, 0.0000, 0.0000), Y at (0.0000, 0.0000, 0.3067), Y at (0.0000, 0.0000, 0.6185), Y at (0.0000, 0.3256, 0.0615), Y at (0.0000, 0.3301, 0.5634), Y at (0.0000, 0.5000, 0.3106), Tm at (0.0000, 0.5000, 0.8156) and Tm at (0.2337, 0.2283, 0.8114).

Its formation energy is 0.2471 eV per atom. As for the crystal system: orthorhombic.

***

A plane-wave DFT calculation with PBE was carried out for an optimized crystal structure of NpAs2.

The structure belongs to space group P4/nmm (No. 129, origin choice 2); the cell edges are 3.9596, 3.9596 and 8.0829 Å and the angles 90.00°, 90.00° and 90.00°. The asymmetric unit holds Np at (0.2500, 0.2500, 0.2137), As at (0.2500, 0.2500, 0.8562) and As at (0.2500, 0.7500, 0.5000).

Its formation energy is -0.5567 eV per atom. As for the crystal system: tetragonal.

***

A plane-wave DFT calculation with PBE was carried out for an optimized crystal structure of HoErTm2Se4.

The structure belongs to space group P2/m (No. 10); the cell edges are 6.9977, 3.9799 and 7.0247 Å and the angles 90.00°, 108.83° and 90.00°. The asymmetric unit holds Ho at (0.0000, 0.0000, 0.0000), Er at (0.0000, 0.5000, 0.5000), Tm at (0.5000, 0.0000, 0.5000), Tm at (0.5000, 0.5000, 0.0000), Se at (0.2527, 0.0000, 0.7501) and Se at (0.2533, 0.5000, 0.2519).

As for the crystal system: monoclinic. The calculation puts the uncorrected formation energy at -1680.3 meV/atom.

***

A plane-wave DFT calculation with PBE was carried out for an optimized crystal structure of ScBeCoGe2.

The structure belongs to space group P4/mmm (No. 123); the cell edges are 4.4771, 4.4771 and 4.0549 Å and the angles 90.00°, 90.00° and 90.00°. The asymmetric unit holds Sc at (0.0000, 0.0000, 0.0000), Be at (0.5000, 0.5000, 0.0000), Co at (0.5000, 0.5000, 0.5000) and Ge at (0.0000, 0.5000, 0.5000).

Its formation energy is -0.0221 eV per atom. As for the crystal system: tetragonal.

***

A plane-wave DFT calculation with PBE was carried out for an optimized crystal structure of Dy12PuIn3.

The structure belongs to space group P4/mmm (No. 123); the cell edges are 4.8397, 4.8397 and 19.6604 Å and the angles 90.00°, 90.00° and 90.00°. The asymmetric unit holds Dy at (0.0000, 0.0000, 0.0000), Dy at (0.0000, 0.0000, 0.2477), Dy at (0.0000, 0.0000, 0.5000), Dy at (0.0000, 0.5000, 0.1242), Dy at (0.0000, 0.5000, 0.3730), Pu at (0.5000, 0.5000, 0.5000), In at (0.5000, 0.5000, 0.0000) and In at (0.5000, 0.5000, 0.2456).

Its formation energy is -0.1719 eV per atom. As for the crystal system: tetragonal.

***

Calculated total magnetization, 0.020, 0.012, 5.801, 0.000, 0.000, 6.469 μB per cell (same order as the records).